[1]
{
  "formula": "BaCuRe2",
  "functional": "meta-GGA SCAN",
  "state": "single point on PBEsol structure",
  "lattice_angstrom": [[-1.0738, -0.2463, -2.9443], [1.5548, -2.7109, -0.3403], [-6.2412, -3.9062, 2.6030]],
  "species": ["Ba", "Cu", "Re", "Re"],
  "frac_coords": [[0.0000, 0.0000, 0.5052], [0.5000, 0.5000, 0.8191], [0.0000, 0.0000, 0.0070], [0.5000, 0.5000, 0.1688]],
  "formation_energy_ev_per_atom": 0.529,
  "magmom_total_mub_per_atom": 0.000,
  "dos_at_fermi_per_ev_cell": 3.64
}



[2]
{
  "formula": "Ba2CuRh",
  "functional": "meta-GGA SCAN",
  "state": "single point on PBEsol structure",
  "lattice_angstrom": [[4.5365, 0.0000, 0.0000], [0.0000, 4.5365, 0.0000], [-2.2682, -2.2682, 4.9771]],
  "species": ["Ba", "Ba", "Cu", "Rh"],
  "frac_coords": [[0.0000, 0.0000, 0.0000], [0.7500, 0.2500, 0.5000], [0.5000, 0.5000, 0.0000], [0.2500, 0.7500, 0.5000]],
  "formation_energy_ev_per_atom": 0.248,
  "e_above_lowest_polymorph_mev_per_atom": 433,
  "magmom_total_mub_per_atom": 0.000,
  "dos_at_fermi_per_ev_cell": 1.14
}



[3]
{
  "formula": "Ba2CuRh",
  "functional": "meta-GGA SCAN",
  "state": "single point on PBEsol structure",
  "lattice_angstrom": [[5.1538, 0.0000, 0.0000], [2.5769, 4.4633, 0.0000], [2.5769, 1.4878, 4.2081]],
  "species": ["Ba", "Ba", "Cu", "Rh"],
  "frac_coords": [[0.0000, 0.0000, 0.0000], [0.7500, 0.7500, 0.7500], [0.5000, 0.5000, 0.5000], [0.2500, 0.2500, 0.2500]],
  "formation_energy_ev_per_atom": 0.286,
  "e_above_lowest_polymorph_mev_per_atom": 471,
  "magmom_total_mub_per_atom": 0.000,
  "dos_at_fermi_per_ev_cell": 1.34
}